(1)
This record from Alexandria describes a relaxed structure of AcNdGaPt. The functional is GGA-PBE.

E_form, meV per atom: -679
SG: No. 216
ρ, g/cm³: 9.9
Distance to the lowest polymorph of the same formula, eV/f.u.: 0.47

Cell lengths 7.5330, 7.5330, 7.5330 Å; angles 90.00, 90.00, 90.00 degrees
Last column: nearest neighbours and their distance in Å.
Sites, in units of the cell vectors:
1 Ac 0.0000 0.0000 0.0000  4 Ga 3.26, 4 Pt 3.26
2 Ac 0.0000 0.5000 0.5000  4 Ga 3.26, 4 Pt 3.26
3 Ac 0.5000 0.0000 0.5000  4 Ga 3.26, 4 Pt 3.26
4 Ac 0.5000 0.5000 0.0000  4 Ga 3.26, 4 Pt 3.26
5 Nd 0.0000 0.0000 0.5000  4 Pt 3.26, 4 Ga 3.26
6 Nd 0.0000 0.5000 0.0000  4 Pt 3.26, 4 Ga 3.26
7 Nd 0.5000 0.0000 0.0000  4 Pt 3.26, 4 Ga 3.26
8 Nd 0.5000 0.5000 0.5000  4 Pt 3.26, 4 Ga 3.26
9 Ga 0.2500 0.2500 0.2500  4 Nd 3.26, 4 Ac 3.26
10 Ga 0.2500 0.7500 0.7500  4 Nd 3.26, 4 Ac 3.26
11 Ga 0.7500 0.2500 0.7500  4 Nd 3.26, 4 Ac 3.26
12 Ga 0.7500 0.7500 0.2500  4 Nd 3.26, 4 Ac 3.26
13 Pt 0.2500 0.2500 0.7500  4 Ac 3.26, 4 Nd 3.26
14 Pt 0.2500 0.7500 0.2500  4 Ac 3.26, 4 Nd 3.26
15 Pt 0.7500 0.2500 0.2500  4 Ac 3.26, 4 Nd 3.26
16 Pt 0.7500 0.7500 0.7500  4 Ac 3.26, 4 Nd 3.26

***

(2)
This record from Alexandria describes a relaxed structure of AcNdGa2Pt2. The functional is GGA-PBE.

E_form, meV per atom: -996
SG: No. 164
ρ, g/cm³: 10.8

Cell lengths 4.5400, 4.5400, 7.7674 Å; angles 90.00, 90.00, 120.00 degrees
Last column: nearest neighbours and their distance in Å.
Sites, in units of the cell vectors:
1 Ac 0.0000 0.0000 0.0000  6 Pt 3.35, 6 Ga 3.38
2 Nd 0.0000 0.0000 0.5000  6 Ga 3.15, 6 Pt 3.17
3 Ga 0.3333 0.6667 0.2753  3 Pt 2.62
4 Ga 0.6667 0.3333 0.7247  3 Pt 2.62
5 Pt 0.3333 0.6667 0.7305  3 Ga 2.62
6 Pt 0.6667 0.3333 0.2695  3 Ga 2.62

***

(3)
This record from Alexandria describes a relaxed structure of Ac2NdGa2Pt7. The functional is GGA-PBE.

E_form, meV per atom: -970
SG: No. 12
ρ, g/cm³: 13.7

Cell lengths 4.2356, 4.2356, 14.3369 Å; angles 95.24, 95.24, 89.52 degrees
Last column: nearest neighbours and their distance in Å.
Sites, in units of the cell vectors:
1 Ac 0.0958 0.0958 0.3556  4 Pt 3.07-3.24, 3 Ga 3.32-3.36
2 Ac 0.9042 0.9042 0.6444  4 Pt 3.07-3.24, 3 Ga 3.32-3.36
3 Nd 0.0000 0.0000 0.0000  12 Pt 2.98-3.02
4 Ga 0.4259 0.4259 0.7534  5 Pt 2.50-2.51
5 Ga 0.5741 0.5741 0.2466  5 Pt 2.50-2.51
6 Pt 0.0454 0.5456 0.1514  2 Ga 2.51
7 Pt 0.3983 0.3983 0.5779  1 Ga 2.50, 1 Pt 2.68
8 Pt 0.4544 0.9546 0.8486  2 Ga 2.51
9 Pt 0.5000 0.5000 0.0000  4 Nd 2.98-3.01, 8 Pt 3.02
10 Pt 0.5456 0.0454 0.1514  2 Ga 2.51
11 Pt 0.6017 0.6017 0.4221  1 Ga 2.50, 1 Pt 2.68
12 Pt 0.9546 0.4544 0.8486  2 Ga 2.51

***

(4)
This record from Alexandria describes a relaxed structure of AcNd2Ga2Pt7. The functional is GGA-PBE.

E_form, meV per atom: -878
SG: No. 12
ρ, g/cm³: 13.5

Cell lengths 4.1887, 4.1887, 14.3845 Å; angles 96.31, 96.31, 89.18 degrees
Last column: nearest neighbours and their distance in Å.
Sites, in units of the cell vectors:
1 Ac 0.0000 0.0000 0.0000  12 Pt 2.94-3.13
2 Nd 0.1168 0.1168 0.3607  5 Pt 3.06-3.23, 4 Ga 3.21-3.41
3 Nd 0.8832 0.8832 0.6393  5 Pt 3.06-3.23, 4 Ga 3.21-3.41
4 Ga 0.4028 0.4028 0.7402  5 Pt 2.45-2.50
5 Ga 0.5972 0.5972 0.2598  5 Pt 2.45-2.50
6 Pt 0.0616 0.5605 0.1640  2 Ga 2.50
7 Pt 0.3719 0.3719 0.5685  1 Ga 2.45, 1 Pt 2.67
8 Pt 0.4395 0.9384 0.8360  2 Ga 2.50
9 Pt 0.5000 0.5000 0.0000  4 Ac 2.94-2.98, 8 Pt 3.13
10 Pt 0.5605 0.0616 0.1640  2 Ga 2.50
11 Pt 0.6281 0.6281 0.4315  1 Ga 2.45, 1 Pt 2.67
12 Pt 0.9384 0.4395 0.8360  2 Ga 2.50

***

(5)
This record from Alexandria describes a relaxed structure of AcNdGa2Rh2. The functional is GGA-PBE.

E_form, meV per atom: -756
SG: No. 164
ρ, g/cm³: 8.7

Cell lengths 4.4172, 4.4172, 8.0770 Å; angles 90.00, 90.00, 120.00 degrees
Last column: nearest neighbours and their distance in Å.
Sites, in units of the cell vectors:
1 Ac 0.0000 0.0000 0.0000  6 Rh 3.34, 6 Ga 3.36
2 Nd 0.0000 0.0000 0.5000  6 Ga 3.15, 6 Rh 3.17
3 Ga 0.3333 0.6667 0.2715  3 Rh 2.55
4 Ga 0.6667 0.3333 0.7285  3 Rh 2.55
5 Rh 0.3333 0.6667 0.7327  3 Ga 2.55
6 Rh 0.6667 0.3333 0.2673  3 Ga 2.55

***

(6)
This record from Alexandria describes a relaxed structure of AcNdGaRh. The functional is GGA-PBE.

E_form, meV per atom: -459
SG: No. 216
ρ, g/cm³: 8.7
Distance to the lowest polymorph of the same formula, eV/f.u.: 0.66

Cell lengths 7.4538, 7.4538, 7.4538 Å; angles 90.00, 90.00, 90.00 degrees
Last column: nearest neighbours and their distance in Å.
Sites, in units of the cell vectors:
1 Ac 0.0000 0.0000 0.0000  4 Rh 3.23, 4 Ga 3.23
2 Ac 0.0000 0.5000 0.5000  4 Rh 3.23, 4 Ga 3.23
3 Ac 0.5000 0.0000 0.5000  4 Rh 3.23, 4 Ga 3.23
4 Ac 0.5000 0.5000 0.0000  4 Rh 3.23, 4 Ga 3.23
5 Nd 0.0000 0.0000 0.5000  4 Rh 3.23, 4 Ga 3.23
6 Nd 0.0000 0.5000 0.0000  4 Rh 3.23, 4 Ga 3.23
7 Nd 0.5000 0.0000 0.0000  4 Rh 3.23, 4 Ga 3.23
8 Nd 0.5000 0.5000 0.5000  4 Ga 3.23, 4 Rh 3.23
9 Ga 0.2500 0.2500 0.2500  4 Ac 3.23, 4 Nd 3.23
10 Ga 0.2500 0.7500 0.7500  4 Ac 3.23, 4 Nd 3.23
11 Ga 0.7500 0.2500 0.7500  4 Ac 3.23, 4 Nd 3.23
12 Ga 0.7500 0.7500 0.2500  4 Ac 3.23, 4 Nd 3.23
13 Rh 0.2500 0.2500 0.7500  4 Ac 3.23, 4 Nd 3.23
14 Rh 0.2500 0.7500 0.2500  4 Ac 3.23, 4 Nd 3.23
15 Rh 0.7500 0.2500 0.2500  4 Ac 3.23, 4 Nd 3.23
16 Rh 0.7500 0.7500 0.7500  4 Ac 3.23, 4 Nd 3.23

***

(7)
This record from Alexandria describes a relaxed structure of Ac2NdGa3Rh4. The functional is GGA-PBE.

E_form, meV per atom: -759
SG: No. 115
ρ, g/cm³: 9.3

Cell lengths 4.4157, 4.4157, 11.1140 Å; angles 90.00, 90.00, 90.00 degrees
Last column: nearest neighbours and their distance in Å.
Sites, in units of the cell vectors:
1 Ac 0.0000 0.5000 0.2226  8 Rh 3.32-3.40, 5 Ga 3.36-3.70
2 Ac 0.5000 0.0000 0.7774  8 Rh 3.32-3.40, 5 Ga 3.36-3.70
3 Nd 0.0000 0.0000 0.5000  4 Rh 2.82, 4 Ga 3.12
4 Ga 0.0000 0.5000 0.8897  5 Rh 2.53-2.58
5 Ga 0.5000 0.0000 0.1103  5 Rh 2.53-2.58
6 Ga 0.5000 0.5000 0.5000  4 Rh 2.82, 4 Nd 3.12
7 Rh 0.0000 0.0000 0.0000  4 Ga 2.53
8 Rh 0.0000 0.5000 0.6573  3 Ga 2.58-2.82, 2 Nd 2.82
9 Rh 0.5000 0.0000 0.3427  3 Ga 2.58-2.82, 2 Nd 2.82
10 Rh 0.5000 0.5000 0.0000  4 Ga 2.53

***

(8)
This record from Alexandria describes a relaxed structure of AcNdGaRh. The functional is GGA-PBE.

E_form, meV per atom: -623
SG: No. 38
ρ, g/cm³: 8.3
Distance to the lowest polymorph of the same formula, eV/f.u.: 0.00

Cell lengths 4.4388, 4.1213, 11.8958 Å; angles 90.00, 90.00, 90.00 degrees
Last column: nearest neighbours and their distance in Å.
Sites, in units of the cell vectors:
1 Ac 0.0000 0.0000 0.0000  4 Rh 3.21, 3 Ga 3.26-3.42
2 Ac 0.0000 0.5000 0.5000  4 Rh 3.21, 3 Ga 3.26-3.42
3 Nd 0.5000 0.0000 0.2704  2 Rh 2.99, 4 Ga 3.11
4 Nd 0.5000 0.5000 0.7704  2 Rh 2.99, 4 Ga 3.11
5 Ga 0.0000 0.0000 0.7122  2 Rh 2.66
6 Ga 0.0000 0.5000 0.2122  2 Rh 2.66
7 Rh 0.5000 0.0000 0.5886  2 Ga 2.66
8 Rh 0.5000 0.5000 0.0886  2 Ga 2.66

***

(9)
This record from Alexandria describes a relaxed structure of AcNdGaRu. The functional is GGA-PBE.

E_form, meV per atom: -197
SG: No. 216
ρ, g/cm³: 8.8
Distance to the lowest polymorph of the same formula, eV/f.u.: 0.55

Cell lengths 7.4173, 7.4173, 7.4173 Å; angles 90.00, 90.00, 90.00 degrees
Last column: nearest neighbours and their distance in Å.
Sites, in units of the cell vectors:
1 Ac 0.0000 0.0000 0.0000  4 Ru 3.21, 4 Ga 3.21
2 Ac 0.0000 0.5000 0.5000  4 Ru 3.21, 4 Ga 3.21
3 Ac 0.5000 0.0000 0.5000  4 Ru 3.21, 4 Ga 3.21
4 Ac 0.5000 0.5000 0.0000  4 Ru 3.21, 4 Ga 3.21
5 Nd 0.0000 0.0000 0.5000  4 Ru 3.21, 4 Ga 3.21
6 Nd 0.0000 0.5000 0.0000  4 Ru 3.21, 4 Ga 3.21
7 Nd 0.5000 0.0000 0.0000  4 Ru 3.21, 4 Ga 3.21
8 Nd 0.5000 0.5000 0.5000  4 Ru 3.21, 4 Ga 3.21
9 Ga 0.2500 0.2500 0.2500  4 Ac 3.21, 4 Nd 3.21
10 Ga 0.2500 0.7500 0.7500  4 Ac 3.21, 4 Nd 3.21
11 Ga 0.7500 0.2500 0.7500  4 Ac 3.21, 4 Nd 3.21
12 Ga 0.7500 0.7500 0.2500  4 Ac 3.21, 4 Nd 3.21
13 Ru 0.2500 0.2500 0.7500  4 Ac 3.21, 4 Nd 3.21
14 Ru 0.2500 0.7500 0.2500  4 Ac 3.21, 4 Nd 3.21
15 Ru 0.7500 0.2500 0.2500  4 Ac 3.21, 4 Nd 3.21
16 Ru 0.7500 0.7500 0.7500  4 Ac 3.21, 4 Nd 3.21

***

(10)
This record from Alexandria describes a relaxed structure of AcNdGaRu. The functional is GGA-PBE.

E_form, meV per atom: -335
SG: No. 38
ρ, g/cm³: 8.5
Distance to the lowest polymorph of the same formula, eV/f.u.: 0.00

Cell lengths 4.2685, 4.5414, 10.9717 Å; angles 90.00, 90.00, 90.00 degrees
Last column: nearest neighbours and their distance in Å.
Sites, in units of the cell vectors:
1 Ac 0.0000 0.0000 0.0000  3 Ru 3.03-3.35, 4 Ga 3.28
2 Ac 0.0000 0.5000 0.5000  3 Ru 3.03-3.35, 4 Ga 3.28
3 Nd 0.5000 0.0000 0.2840  3 Ga 3.10-3.38, 4 Ru 3.18
4 Nd 0.5000 0.5000 0.7840  3 Ga 3.10-3.38, 4 Ru 3.18
5 Ga 0.5000 0.0000 0.5922  2 Ru 2.58
6 Ga 0.5000 0.5000 0.0922  2 Ru 2.58
7 Ru 0.0000 0.0000 0.7241  2 Ga 2.58
8 Ru 0.0000 0.5000 0.2241  2 Ga 2.58

***

(11)
This record from Alexandria describes a relaxed structure of AcNdScGa. The functional is GGA-PBE.

E_form, meV per atom: 43
SG: No. 216
ρ, g/cm³: 7.2

Cell lengths 7.6612, 7.6612, 7.6612 Å; angles 90.00, 90.00, 90.00 degrees
Last column: nearest neighbours and their distance in Å.
Sites, in units of the cell vectors:
1 Ac 0.0000 0.0000 0.0000  4 Sc 3.32, 4 Nd 3.32
2 Ac 0.0000 0.5000 0.5000  4 Sc 3.32, 4 Nd 3.32
3 Ac 0.5000 0.0000 0.5000  4 Sc 3.32, 4 Nd 3.32
4 Ac 0.5000 0.5000 0.0000  4 Sc 3.32, 4 Nd 3.32
5 Nd 0.2500 0.2500 0.7500  4 Ac 3.32, 4 Ga 3.32
6 Nd 0.2500 0.7500 0.2500  4 Ac 3.32, 4 Ga 3.32
7 Nd 0.7500 0.2500 0.2500  4 Ac 3.32, 4 Ga 3.32
8 Nd 0.7500 0.7500 0.7500  4 Ac 3.32, 4 Ga 3.32
9 Sc 0.2500 0.2500 0.2500  4 Ga 3.32, 4 Ac 3.32
10 Sc 0.2500 0.7500 0.7500  4 Ga 3.32, 4 Ac 3.32
11 Sc 0.7500 0.2500 0.7500  4 Ga 3.32, 4 Ac 3.32
12 Sc 0.7500 0.7500 0.2500  4 Ga 3.32, 4 Ac 3.32
13 Ga 0.0000 0.0000 0.5000  4 Nd 3.32, 4 Sc 3.32
14 Ga 0.0000 0.5000 0.0000  4 Nd 3.32, 4 Sc 3.32
15 Ga 0.5000 0.0000 0.0000  4 Nd 3.32, 4 Sc 3.32
16 Ga 0.5000 0.5000 0.5000  4 Nd 3.32, 4 Sc 3.32

***

(12)
This record from Alexandria describes a relaxed structure of AcNdGaSi. The functional is GGA-PBE.

SG: No. 38
Raw formation energy, eV per atom: -0.617
ρ, g/cm³: 7.1
Distance to the lowest polymorph of the same formula, eV/f.u.: 0.00

Cell lengths 4.1302, 4.5589, 11.6940 Å; angles 90.00, 90.00, 90.00 degrees
Last column: nearest neighbours and their distance in Å.
Sites, in units of the cell vectors:
1 Ac 0.0000 0.0000 0.0000  4 Ga 3.23, 3 Si 3.29-3.43
2 Ac 0.0000 0.5000 0.5000  4 Ga 3.23, 3 Si 3.29-3.43
3 Nd 0.5000 0.0000 0.2838  4 Si 3.17, 3 Ga 3.26-3.52
4 Nd 0.5000 0.5000 0.7838  4 Si 3.17, 3 Ga 3.26-3.52
5 Ga 0.5000 0.0000 0.5851  2 Si 2.59
6 Ga 0.5000 0.5000 0.0851  2 Si 2.59
7 Si 0.0000 0.0000 0.7189  2 Ga 2.59
8 Si 0.0000 0.5000 0.2189  2 Ga 2.59

***

(13)
This record from Alexandria describes a relaxed structure of AcNdGaSi. The functional is GGA-PBE.

SG: No. 216
Raw formation energy, eV per atom: -0.402
ρ, g/cm³: 7.2
Distance to the lowest polymorph of the same formula, eV/f.u.: 0.86

Cell lengths 7.5618, 7.5618, 7.5618 Å; angles 90.00, 90.00, 90.00 degrees
Last column: nearest neighbours and their distance in Å.
Sites, in units of the cell vectors:
1 Ac 0.0000 0.0000 0.0000  4 Si 3.27, 4 Ga 3.27
2 Ac 0.0000 0.5000 0.5000  4 Si 3.27, 4 Ga 3.27
3 Ac 0.5000 0.0000 0.5000  4 Si 3.27, 4 Ga 3.27
4 Ac 0.5000 0.5000 0.0000  4 Si 3.27, 4 Ga 3.27
5 Nd 0.0000 0.0000 0.5000  4 Si 3.27, 4 Ga 3.27
6 Nd 0.0000 0.5000 0.0000  4 Si 3.27, 4 Ga 3.27
7 Nd 0.5000 0.0000 0.0000  4 Si 3.27, 4 Ga 3.27
8 Nd 0.5000 0.5000 0.5000  4 Si 3.27, 4 Ga 3.27
9 Ga 0.2500 0.2500 0.7500  4 Ac 3.27, 4 Nd 3.27
10 Ga 0.2500 0.7500 0.2500  4 Ac 3.27, 4 Nd 3.27
11 Ga 0.7500 0.2500 0.2500  4 Ac 3.27, 4 Nd 3.27
12 Ga 0.7500 0.7500 0.7500  4 Ac 3.27, 4 Nd 3.27
13 Si 0.2500 0.2500 0.2500  4 Nd 3.27, 4 Ac 3.27
14 Si 0.2500 0.7500 0.7500  4 Nd 3.27, 4 Ac 3.27
15 Si 0.7500 0.2500 0.7500  4 Nd 3.27, 4 Ac 3.27
16 Si 0.7500 0.7500 0.2500  4 Nd 3.27, 4 Ac 3.27

***

no.,VASP energy (eV/atom)
1,-5.16
2,-5.50
3,-6.08
4,-6.04
5,-5.69
6,-5.27
7,-5.91
8,-5.44
9,-5.49
10,-5.63
11,-4.52
12,-4.95
13,-4.73